No. 1
Computed, not measured: a relaxed HfAs2IrBr crystal at the PBE-GGA level of DFT.

POSCAR file:
```
HfAs2IrBr
1.0
4.8090 0.0000 0.0000
0.0000 4.8090 0.0000
0.0000 0.0000 5.0015
As Ir Br Hf
2 1 1 1
direct
0.0000 0.5000 0.0000
0.5000 0.0000 0.0000
0.0000 0.0000 0.0000
0.0000 0.0000 0.5000
0.5000 0.5000 0.5000
```

Values from the calculation:
**Raw formation energy**: 14.88 kcal/mol of atoms

No. 2
Computed, not measured: a relaxed Dy5Hg crystal at the PBE-GGA level of DFT.

POSCAR file:
```
Dy5Hg
1.0
4.8128 0.0000 0.0000
0.0000 4.8093 0.0000
0.0000 -2.4047 7.5244
Dy Hg
5 1
direct
0.5000 0.8314 0.6629
0.0000 0.6621 0.3242
0.5000 0.1686 0.3371
0.5000 0.5000 0.0000
0.0000 0.3379 0.6758
0.0000 0.0000 0.0000
```

Values from the calculation:
**Formation enthalpy at 0 K**: -95 meV/atom

No. 3
Computed, not measured: a relaxed La2TbCuSe5 crystal at the PBE-GGA level of DFT.

POSCAR file:
```
La2TbCuSe5
1.0
4.1387 0.0000 0.0000
-2.0693 8.9031 0.0000
0.0000 0.0000 12.2912
Se La Cu Tb
10 4 2 2
direct
0.4992 0.9984 0.7756
0.7084 0.4167 0.1749
0.6886 0.3773 0.8499
0.3552 0.7104 0.0040
0.3114 0.6227 0.3499
0.9604 0.9209 0.5539
0.0396 0.0791 0.0539
0.5008 0.0016 0.2756
0.2916 0.5833 0.6749
0.6448 0.2896 0.5040
0.1207 0.2415 0.3153
0.8890 0.7780 0.1876
0.8793 0.7585 0.8153
0.1110 0.2220 0.6876
0.4373 0.8747 0.4502
0.5627 0.1253 0.9502
0.1918 0.3836 0.0125
0.8082 0.6164 0.5125
```

Values from the calculation:
**Raw formation energy**: -38.99 kcal/mol of atoms

No. 4
Computed, not measured: a relaxed DyTm5Sc crystal at the PBE-GGA level of DFT.

POSCAR file:
```
DyTm5Sc
1.0
-3.0357 -5.1569 -0.3485
0.4780 -0.8041 7.7358
-3.6166 5.8219 -3.0958
Tm Dy Sc
5 1 1
direct
0.0714 0.1836 0.0000
0.0714 0.8164 0.0000
0.3643 0.5000 0.0000
0.5595 0.2531 0.5062
0.0532 0.7469 0.4938
0.5819 0.0000 0.0000
0.8289 0.5000 0.0000
```

Values from the calculation:
**Formation enthalpy at 0 K**: 974 meV/atom

No. 5
Computed, not measured: a relaxed CrPd6Au3 crystal at the PBE-GGA level of DFT.

POSCAR file:
```
CrPd6Au3
1.0
4.6686 0.0000 0.0000
0.0000 6.9726 -2.7328
0.0000 -0.2451 9.9835
Au Pd Cr
6 12 2
direct
0.2500 0.5570 0.3734
0.7500 0.2302 0.0246
0.2500 0.7698 0.9754
0.7500 0.6355 0.2272
0.7500 0.4430 0.6266
0.2500 0.3645 0.7728
0.2500 0.0621 0.8654
0.2500 0.4622 0.0724
0.7500 0.5378 0.9276
0.7500 0.1300 0.7134
0.2500 0.1606 0.1747
0.2500 0.8700 0.2866
0.7500 0.3270 0.3296
0.7500 0.9379 0.1346
0.2500 0.2479 0.4749
0.2500 0.6730 0.6704
0.7500 0.7521 0.5251
0.7500 0.8394 0.8253
0.7500 0.0403 0.4195
0.2500 0.9597 0.5805
```

Values from the calculation:
**Formation enthalpy at 0 K**: -43 meV/atom

No. 6
Computed, not measured: a relaxed Y3GaHg crystal at the PBE-GGA level of DFT.

POSCAR file:
```
Y3GaHg
1.0
-0.5760 -5.1195 1.7574
2.1555 -1.8381 -4.6481
4.9651 0.2040 2.2218
Ga Y Hg
1 3 1
direct
0.0000 0.0000 0.0000
0.0000 0.5000 0.0000
0.5000 0.0000 0.0000
0.0000 0.0000 0.5000
0.5000 0.5000 0.5000
```

Values from the calculation:
**Formation enthalpy at 0 K**: 3 meV/atom

No. 7
Computed, not measured: a relaxed TbPmPtRh crystal at the PBE-GGA level of DFT.

POSCAR file:
```
TbPmPtRh
1.0
-0.3064 1.3034 -4.7870
1.5883 -3.1172 -3.5311
-3.2759 -2.2519 -2.9842
Tb Pm Pt Rh
1 1 1 1
direct
0.0000 0.0000 0.0000
0.5000 0.5000 0.5000
0.7500 0.7500 0.7500
0.2500 0.2500 0.2500
```

Values from the calculation:
**Formation enthalpy at 0 K**: -948 meV/atom

No. 8
Computed, not measured: a relaxed PrDySI crystal at the PBE-GGA level of DFT.

POSCAR file:
```
PrDySI
1.0
-1.5988 2.7624 -2.4155
-0.7943 -3.8818 -0.5920
-4.9055 0.0046 6.5550
S Pr I Dy
1 1 1 1
direct
0.3143 0.5551 0.8845
0.5078 0.1518 0.6750
0.9575 0.3768 0.3496
0.0982 0.9471 0.0605
```

Values from the calculation:
**Raw formation energy**: -32.17 kcal/mol of atoms